# PaCoSe

An optimized crystal structure of PaCoSe (PBE-GGA, Alexandria).

Calculated values
**Total moment**: 0.00 μB per formula unit
**V**: 53.5 Å³/cell
**Uncorrected formation energy**: -18.923 kcal/mol of atoms
**Space group**: No. 156
**Offset from the most stable computed form**: 0 meV/atom

Cell and atoms, written as CIF:
```
data_PaCoSe
_cell_length_a 3.877
_cell_length_b 3.992
_cell_length_c 3.992
_cell_angle_alpha 120.00
_cell_angle_beta 90.00
_cell_angle_gamma 90.00
_space_group_name_H-M_alt 'P 1'
_space_group_IT_number 1
loop_
_space_group_symop_operation_xyz
'x,y,z'
loop_
_atom_site_label
_atom_site_fract_x
_atom_site_fract_y
_atom_site_fract_z
Pa1 0.651 0.667 0.333
Co1 0.199 0.333 0.667
Se1 0.150 0.000 0.000
```